! GGA-PBE Na2ZnGe, relaxed; values from VASP
! - N(E_F) (states/eV/cell) = 5.53
! - space-group type = I-42d
! - formation energy from the elements (eV/atom) = 0.20
&SYSTEM
  ibrav = 0, nat = 16, ntyp = 3
/
ATOMIC_SPECIES
Na 22.99 Na.upf
Zn 65.41 Zn.upf
Ge 72.64 Ge.upf
ATOMIC_POSITIONS angstrom
Na 2.055 2.070 0.689
Na 2.070 6.195 2.067
Na 2.070 6.224 4.822
Na 2.085 2.070 3.444
Na 6.195 6.209 3.444
Na 6.209 2.055 4.822
Na 6.209 2.085 2.067
Na 6.224 6.209 0.689
Zn 0.000 0.000 0.000
Zn 0.000 4.140 1.378
Zn 4.140 0.000 4.133
Zn 4.140 4.140 2.755
Ge 0.000 0.000 2.755
Ge 0.000 4.140 4.133
Ge 4.140 0.000 1.378
Ge 4.140 4.140 0.000
CELL_PARAMETERS angstrom
8.279 0.000 0.000
0.000 8.279 0.000
0.000 0.000 5.511

=====

! GGA-PBE Na2Zn2Ge, relaxed; values from VASP
! - N(E_F) (states/eV/cell) = 4.68
! - excess energy over the best structure of this formula in the dataset (meV/atom) = 391.7
! - space-group type = I4/mmm
! - formation energy from the elements (eV/atom) = 0.32
&SYSTEM
  ibrav = 0, nat = 10, ntyp = 3
/
ATOMIC_SPECIES
Na 22.99 Na.upf
Zn 65.41 Zn.upf
Ge 72.64 Ge.upf
ATOMIC_POSITIONS angstrom
Na 0.000 2.061 3.332
Na 0.000 2.061 9.995
Na 2.061 0.000 3.332
Na 2.061 0.000 9.995
Zn 0.000 0.000 1.201
Zn 0.000 0.000 12.126
Zn 2.061 2.061 5.463
Zn 2.061 2.061 7.865
Ge 0.000 0.000 6.664
Ge 2.061 2.061 0.000
CELL_PARAMETERS angstrom
4.123 0.000 0.000
0.000 4.123 0.000
0.000 0.000 13.327

=====

! GGA-PBE NaZnGe2, relaxed; values from VASP
! - N(E_F) (states/eV/cell) = 7.45
! - space-group type = I-42d
! - formation energy from the elements (eV/atom) = 0.18
&SYSTEM
  ibrav = 0, nat = 16, ntyp = 3
/
ATOMIC_SPECIES
Na 22.99 Na.upf
Zn 65.41 Zn.upf
Ge 72.64 Ge.upf
ATOMIC_POSITIONS angstrom
Na 0.000 0.000 0.000
Na 0.000 2.216 4.543
Na 2.216 0.000 13.628
Na 2.216 2.216 9.085
Zn 0.000 0.000 9.085
Zn 0.000 2.216 13.628
Zn 2.216 0.000 4.543
Zn 2.216 2.216 0.000
Ge 0.761 1.108 11.356
Ge 1.108 2.977 15.899
Ge 1.108 3.672 6.814
Ge 1.456 1.108 2.271
Ge 2.977 3.324 2.271
Ge 3.324 0.761 6.814
Ge 3.324 1.456 15.899
Ge 3.672 3.324 11.356
CELL_PARAMETERS angstrom
4.432 0.000 0.000
0.000 4.432 0.000
0.000 0.000 18.170

=====

! GGA-PBE Na2ZnGe, relaxed; values from VASP
! - N(E_F) (states/eV/cell) = 0.78
! - space-group type = Cmcm
! - formation energy from the elements (eV/atom) = -0.15
&SYSTEM
  ibrav = 0, nat = 16, ntyp = 3
/
ATOMIC_SPECIES
Na 22.99 Na.upf
Zn 65.41 Zn.upf
Ge 72.64 Ge.upf
ATOMIC_POSITIONS angstrom
Na 1.621 1.061 1.374
Na 1.621 6.369 4.121
Na 2.986 2.654 4.121
Na 2.986 4.776 1.374
Na 6.227 2.654 4.121
Na 6.227 4.776 1.374
Na 7.592 1.061 1.374
Na 7.592 6.369 4.121
Zn 0.000 3.715 0.000
Zn 0.000 3.715 2.747
Zn 4.606 0.000 0.000
Zn 4.606 0.000 2.747
Ge 0.000 1.687 4.121
Ge 0.000 5.744 1.374
Ge 4.606 2.029 1.374
Ge 4.606 5.402 4.121
CELL_PARAMETERS angstrom
9.213 0.000 0.000
0.000 7.430 0.000
0.000 0.000 5.494

=====

! GGA-PBE Na3Zn4Ge4, relaxed; values from VASP
! - N(E_F) (states/eV/cell) = 3.53
! - space-group type = Immm
! - formation energy from the elements (eV/atom) = 0.02
&SYSTEM
  ibrav = 0, nat = 11, ntyp = 3
/
ATOMIC_SPECIES
Na 22.99 Na.upf
Zn 65.41 Zn.upf
Ge 72.64 Ge.upf
ATOMIC_POSITIONS angstrom
Na 0.000 0.000 0.000
Na 2.247 0.000 5.617
Na 0.000 3.318 1.935
Zn 0.000 0.000 3.300
Zn 2.247 2.066 0.000
Zn 0.000 1.252 7.552
Zn 0.000 0.000 11.803
Ge 2.247 1.307 -2.410
Ge 2.247 1.307 2.410
Ge 0.000 2.011 5.141
Ge 0.000 2.011 9.962
CELL_PARAMETERS angstrom
-2.247 3.318 7.552
2.247 -3.318 7.552
2.247 3.318 -7.552

=====

! GGA-PBE Na3Zn2Ge3, relaxed; values from VASP
! - N(E_F) (states/eV/cell) = 1.51
! - space-group type = Cmcm
! - formation energy from the elements (eV/atom) = -0.02
&SYSTEM
  ibrav = 0, nat = 16, ntyp = 3
/
ATOMIC_SPECIES
Na 22.99 Na.upf
Zn 65.41 Zn.upf
Ge 72.64 Ge.upf
ATOMIC_POSITIONS angstrom
Na 2.119 4.603 12.490
Na 2.119 3.376 8.893
Na 2.119 3.376 16.086
Na 2.119 -3.376 0.567
Na 2.119 -3.376 7.759
Na 2.119 -4.603 4.163
Zn 2.119 2.038 2.705
Zn 2.119 2.038 5.622
Zn 2.119 -2.038 11.031
Zn 2.119 -2.038 13.948
Ge 2.119 1.826 12.490
Ge 2.119 0.582 10.214
Ge 2.119 0.582 14.765
Ge 2.119 -0.582 1.887
Ge 2.119 -0.582 6.439
Ge 2.119 -1.826 4.163
CELL_PARAMETERS angstrom
2.119 -4.721 0.000
2.119 4.721 0.000
0.000 0.000 16.653

=====

! GGA-PBE Na2Zn2Ge, relaxed; values from VASP
! - N(E_F) (states/eV/cell) = 3.94
! - excess energy over the best structure of this formula in the dataset (meV/atom) = 71.7
! - space-group type = P4/mbm
! - formation energy from the elements (eV/atom) = 0.00
&SYSTEM
  ibrav = 0, nat = 10, ntyp = 3
/
ATOMIC_SPECIES
Na 22.99 Na.upf
Zn 65.41 Zn.upf
Ge 72.64 Ge.upf
ATOMIC_POSITIONS angstrom
Na 1.196 2.127 0.000
Na 2.127 5.450 0.000
Na 4.518 1.196 0.000
Na 5.450 4.518 0.000
Zn 0.891 4.213 2.477
Zn 2.432 0.891 2.477
Zn 4.213 5.754 2.477
Zn 5.754 2.432 2.477
Ge 0.000 0.000 2.477
Ge 3.323 3.323 2.477
CELL_PARAMETERS angstrom
6.645 0.000 0.000
0.000 6.645 0.000
0.000 0.000 4.955

=====

! GGA-PBE NaZnGe2, relaxed; values from VASP
! - N(E_F) (states/eV/cell) = 2.48
! - space-group type = Amm2
! - formation energy from the elements (eV/atom) = 0.05
&SYSTEM
  ibrav = 0, nat = 8, ntyp = 3
/
ATOMIC_SPECIES
Na 22.99 Na.upf
Zn 65.41 Zn.upf
Ge 72.64 Ge.upf
ATOMIC_POSITIONS angstrom
Na 0.000 0.000 0.000
Na 0.000 2.862 4.691
Zn 1.426 0.000 4.679
Zn 1.426 2.862 9.370
Ge 1.426 1.426 7.031
Ge 1.426 1.437 2.340
Ge 1.426 4.288 2.340
Ge 1.426 4.299 7.031
CELL_PARAMETERS angstrom
2.852 0.000 0.000
0.000 5.725 0.000
0.000 0.000 9.383

=====

! GGA-PBE Na3Zn2Ge4, relaxed; values from VASP
! - N(E_F) (states/eV/cell) = 1.55
! - excess energy over the best structure of this formula in the dataset (meV/atom) = 28.2
! - space-group type = P-1
! - formation energy from the elements (eV/atom) = -0.05
&SYSTEM
  ibrav = 0, nat = 9, ntyp = 3
/
ATOMIC_SPECIES
Na 22.99 Na.upf
Zn 65.41 Zn.upf
Ge 72.64 Ge.upf
ATOMIC_POSITIONS angstrom
Na 0.000 0.000 0.000
Na 2.861 2.486 5.272
Na 4.799 4.648 3.156
Zn 2.896 1.947 2.071
Zn 4.764 5.187 6.358
Ge 2.631 5.841 5.296
Ge 3.560 3.588 8.054
Ge 4.100 3.546 0.374
Ge 5.029 1.293 3.133
CELL_PARAMETERS angstrom
4.250 0.000 0.000
1.836 5.789 0.000
1.574 1.345 8.428

=====

! GGA-PBE Na3Zn4Ge4, relaxed; values from VASP
! - N(E_F) (states/eV/cell) = 2.17
! - space-group type = Immm
! - formation energy from the elements (eV/atom) = -0.08
&SYSTEM
  ibrav = 0, nat = 11, ntyp = 3
/
ATOMIC_SPECIES
Na 22.99 Na.upf
Zn 65.41 Zn.upf
Ge 72.64 Ge.upf
ATOMIC_POSITIONS angstrom
Na 0.000 0.000 0.000
Na 2.232 0.000 5.383
Na 0.000 3.412 1.794
Zn 2.232 1.323 -2.376
Zn 2.232 1.323 2.376
Zn 0.000 2.089 4.802
Zn 0.000 2.089 9.553
Ge 0.000 0.000 3.165
Ge 2.232 2.204 0.000
Ge 0.000 1.208 7.177
Ge 0.000 0.000 11.189
CELL_PARAMETERS angstrom
-2.232 3.412 7.177
2.232 -3.412 7.177
2.232 3.412 -7.177

=====

! GGA-PBE Na3ZnGe, relaxed; values from VASP
! - N(E_F) (states/eV/cell) = 1.87
! - excess energy over the best structure of this formula in the dataset (meV/atom) = 239.5
! - space-group type = Pm-3m
! - formation energy from the elements (eV/atom) = 0.27
&SYSTEM
  ibrav = 0, nat = 5, ntyp = 3
/
ATOMIC_SPECIES
Na 22.99 Na.upf
Zn 65.41 Zn.upf
Ge 72.64 Ge.upf
ATOMIC_POSITIONS angstrom
Na 0.000 0.000 2.835
Na 0.000 2.835 0.000
Na 2.835 0.000 0.000
Zn 2.835 2.835 2.835
Ge 0.000 0.000 0.000
CELL_PARAMETERS angstrom
5.670 0.000 0.000
0.000 5.670 0.000
0.000 0.000 5.670

=====

! GGA-PBE Na3ZnGe, relaxed; values from VASP
! - N(E_F) (states/eV/cell) = 2.95
! - excess energy over the best structure of this formula in the dataset (meV/atom) = 0.0
! - space-group type = C2/m
! - formation energy from the elements (eV/atom) = 0.03
&SYSTEM
  ibrav = 0, nat = 10, ntyp = 3
/
ATOMIC_SPECIES
Na 22.99 Na.upf
Zn 65.41 Zn.upf
Ge 72.64 Ge.upf
ATOMIC_POSITIONS angstrom
Na -0.952 0.000 1.508
Na -0.563 1.754 4.724
Na -0.563 -1.754 4.724
Na 6.173 1.754 1.471
Na 6.173 -1.754 1.471
Na 6.563 0.000 4.687
Zn 2.787 0.000 0.852
Zn 2.824 0.000 5.343
Ge 1.498 0.000 3.200
Ge 4.113 0.000 2.995
CELL_PARAMETERS angstrom
5.056 -4.400 0.000
5.056 4.400 0.000
-4.500 0.000 6.195